No. 1
Density functional theory data (GGA-PBE) for crystalline PmSmHo3Sc at its relaxed geometry.

Cell lengths 7.8707, 7.8707, 9.9601 Å; angles 90.00, 90.00, 143.10 degrees
Last column: nearest neighbours and their distance in Å.
Sites, in units of the cell vectors:
Pm (0.0020, 0.9980, 0.7500)  2 Sc 3.52, 6 Ho 3.52-3.58, 4 Sm 3.52
Pm (0.9980, 0.0020, 0.2500)  2 Sc 3.52, 6 Ho 3.52-3.58, 4 Sm 3.52
Sm (0.5000, 0.5000, 0.0000)  4 Pm 3.52, 2 Sc 3.54, 6 Ho 3.54-3.56
Sm (0.5000, 0.5000, 0.5000)  4 Pm 3.52, 2 Sc 3.54, 6 Ho 3.54-3.56
Ho (0.1687, 0.8313, 0.9998)  5 Ho 3.46-3.52, 3 Sc 3.48-3.52, 2 Pm 3.52-3.56, 2 Sm 3.54
Ho (0.1687, 0.8313, 0.5002)  5 Ho 3.46-3.52, 3 Sc 3.48-3.52, 2 Pm 3.52-3.56, 2 Sm 3.54
Ho (0.3299, 0.6701, 0.7500)  6 Ho 3.46-3.52, 2 Sc 3.47, 2 Sm 3.56, 2 Pm 3.58
Ho (0.6701, 0.3299, 0.2500)  6 Ho 3.46-3.52, 2 Sc 3.47, 2 Sm 3.56, 2 Pm 3.58
Ho (0.8313, 0.1687, 0.0002)  5 Ho 3.46-3.52, 3 Sc 3.48-3.52, 2 Pm 3.52-3.56, 2 Sm 3.54
Ho (0.8313, 0.1687, 0.4998)  5 Ho 3.46-3.52, 3 Sc 3.48-3.52, 2 Pm 3.52-3.56, 2 Sm 3.54
Sc (0.3316, 0.6684, 0.2500)  8 Ho 3.47-3.52, 2 Pm 3.52, 2 Sm 3.54
Sc (0.6684, 0.3316, 0.7500)  8 Ho 3.47-3.52, 2 Pm 3.52, 2 Sm 3.54

Output
As for the magnetization: 0.00 μB/f.u. The density of states at the Fermi level is 17.89 states/eV/cell. The total energy comes out at -4.8839 eV per atom. The energy of formation from the pure elements comes out at 0.04 eV/atom.

=====

No. 2
Density functional theory data (GGA-PBE) for crystalline SrZn3IrRh at its relaxed geometry.

Cell lengths 6.9184, 6.9184, 5.8664 Å; angles 90.00, 90.00, 123.83 degrees
Last column: nearest neighbours and their distance in Å.
Sites, in units of the cell vectors:
Sr (0.2237, 0.7763, 0.7500)  1 Rh 2.79
Sr (0.7763, 0.2237, 0.2500)  1 Rh 2.79
Zn (0.2018, 0.2018, 0.0000)  2 Rh 2.50, 2 Ir 2.57, 1 Zn 2.63
Zn (0.2018, 0.2018, 0.5000)  2 Rh 2.50, 2 Ir 2.57, 1 Zn 2.63
Zn (0.3443, 0.6557, 0.2500)  1 Rh 2.48, 1 Ir 2.56
Zn (0.6557, 0.3443, 0.7500)  1 Rh 2.48, 1 Ir 2.56
Zn (0.7982, 0.7982, 0.0000)  2 Rh 2.50, 2 Ir 2.57, 1 Zn 2.63
Zn (0.7982, 0.7982, 0.5000)  2 Rh 2.50, 2 Ir 2.57, 1 Zn 2.63
Ir (0.1348, 0.8652, 0.2500)  5 Zn 2.56-2.57
Ir (0.8652, 0.1348, 0.7500)  5 Zn 2.56-2.57
Rh (0.4523, 0.5477, 0.7500)  5 Zn 2.48-2.50
Rh (0.5477, 0.4523, 0.2500)  5 Zn 2.48-2.50

Output
As for the magnetization: 0.00 μB/f.u. The density of states at the Fermi level is 3.83 states/eV/cell. The total energy comes out at -3.8117 eV per atom. The energy of formation from the pure elements comes out at -0.19 eV/atom.

=====

No. 3
Density functional theory data (GGA-PBE) for crystalline Hf3SbF at its relaxed geometry.

Cell lengths 4.5477, 4.5477, 4.5477 Å; angles 90.00, 90.00, 90.00 degrees
Last column: nearest neighbours and their distance in Å.
Sites, in units of the cell vectors:
Hf (0.0000, 0.0000, 0.5000)  2 F 2.27
Hf (0.0000, 0.5000, 0.0000)  2 F 2.27
Hf (0.5000, 0.0000, 0.0000)  2 F 2.27
Sb (0.5000, 0.5000, 0.5000)  12 Hf 3.22
F (0.0000, 0.0000, 0.0000)  6 Hf 2.27

Output
As for the magnetization: 1.40 μB/f.u. The density of states at the Fermi level is 4.84 states/eV/cell. The total energy comes out at -7.6473 eV per atom. Its uncorrected formation energy is -0.48 eV per atom.

=====

No. 4
Density functional theory data (GGA-PBE) for crystalline Be2AlAsBr at its relaxed geometry.

Cell lengths 4.2059, 4.2059, 6.5133 Å; angles 90.00, 90.00, 90.00 degrees
Last column: nearest neighbours and their distance in Å.
Sites, in units of the cell vectors:
Be (0.0000, 0.5000, 0.0000)  2 As 2.10
Be (0.5000, 0.0000, 0.0000)  2 As 2.10
Al (0.0000, 0.0000, 0.5000)  4 Br 2.97, 2 As 3.26
As (0.0000, 0.0000, 0.0000)  4 Be 2.10
Br (0.5000, 0.5000, 0.5000)  4 Al 2.97

Output
As for the magnetization: 0.00 μB/f.u. The density of states at the Fermi level is 1.58 states/eV/cell. The total energy comes out at -2.9827 eV per atom. Its uncorrected formation energy is 0.52 eV per atom.

=====

No. 5
Density functional theory data (GGA-PBE) for crystalline ZrTlAg2F6 at its relaxed geometry.

Cell lengths 5.2576, 5.7636, 7.1113 Å; angles 87.17, 74.50, 63.22 degrees
Last column: nearest neighbours and their distance in Å.
Sites, in units of the cell vectors:
Zr (0.0000, 0.0000, 0.0000)  6 F 2.02-2.07
Tl (0.0000, 0.5000, 0.5000)  4 F 2.80-3.00, 4 Ag 2.94-2.98
Ag (0.4689, 0.6608, 0.3527)  3 F 2.39-2.47
Ag (0.5311, 0.3392, 0.6473)  3 F 2.39-2.47
F (0.1242, 0.2552, 0.8379)  1 Zr 2.05
F (0.1479, 0.0443, 0.2317)  1 Zr 2.07
F (0.4070, 0.7086, 0.8749)  1 Zr 2.02
F (0.5930, 0.2914, 0.1251)  1 Zr 2.02
F (0.8521, 0.9557, 0.7683)  1 Zr 2.07
F (0.8758, 0.7448, 0.1621)  1 Zr 2.05

Output
As for the magnetization: 0.00 μB/f.u. The density of states at the Fermi level is 1.66 states/eV/cell. The total energy comes out at -5.0937 eV per atom. Its uncorrected formation energy is -2.31 eV per atom.

=====

No. 6
Density functional theory data (GGA-PBE) for crystalline Pm2Dy3Ho7 at its relaxed geometry.

Cell lengths 19.0452, 19.0452, 3.5949 Å; angles 90.00, 90.00, 162.87 degrees
Last column: nearest neighbours and their distance in Å.
Sites, in units of the cell vectors:
Pm (0.1472, 0.8528, 0.0000)  3 Ho 3.14-3.39
Pm (0.8528, 0.1472, 0.0000)  3 Ho 3.14-3.39
Dy (0.3143, 0.6857, 0.5000)  2 Dy 3.59, 6 Ho 3.63-3.76, 4 Pm 3.66
Dy (0.5000, 0.5000, 0.5000)  4 Ho 3.36, 2 Dy 3.59
Dy (0.6857, 0.3143, 0.5000)  2 Dy 3.59, 6 Ho 3.63-3.76, 4 Pm 3.66
Ho (0.0000, 0.0000, 0.0000)  6 Ho 3.22-3.59, 4 Dy 3.36
Ho (0.0710, 0.9290, 0.5000)  8 Ho 3.22-3.59, 2 Pm 3.39
Ho (0.2306, 0.7694, 0.0000)  1 Pm 3.14, 2 Ho 3.19
Ho (0.4102, 0.5898, 0.0000)  6 Ho 3.43-3.59, 2 Pm 3.57, 2 Dy 3.83
Ho (0.5898, 0.4102, 0.0000)  6 Ho 3.43-3.59, 2 Pm 3.57, 2 Dy 3.83
Ho (0.7694, 0.2306, 0.0000)  1 Pm 3.14, 2 Ho 3.19
Ho (0.9290, 0.0710, 0.5000)  8 Ho 3.22-3.59, 2 Pm 3.39

Output
As for the magnetization: 0.00 μB/f.u. The density of states at the Fermi level is 17.88 states/eV/cell. The total energy comes out at -4.5009 eV per atom. The energy of formation from the pure elements comes out at 0.11 eV/atom.